An optimized crystal structure of TcNiNF2. Source: Alexandria, functional PBE with a Hubbard U.

Summary:
Total magnetization in μB/f.u.: 1.7
Uncorrected energy in eV/atom: -5.34
Crystal system: tetragonal

Cell: 4.151 4.151 3.797 Å, 90.00 90.00 90.00°
Positions (direct):
Tc1 0.000 0.000 0.000
Ni1 0.500 0.500 0.500
N1 0.000 0.000 0.500
F1 0.000 0.500 0.000
F2 0.500 0.000 0.000